[1]
The following is a PBE calculation of a relaxed structure of Nb2TlClF, from Alexandria.

a b c (Å): 5.534 5.534 5.460
angles (deg): 90.00 90.00 90.00
Sites, in units of the cell vectors:
Nb  0.000  0.500  0.000
Nb  0.500  0.000  0.000
Tl  0.000  0.000  0.000
Cl  0.000  0.000  0.500
F  0.500  0.500  0.500

Summary:
Crystal system: tetragonal
Space group: P4/mmm
Magnetic moment: 6.10 μB per cell
Fermi-level density of states: 7.19 states/eV/cell
E_form (uncorrected): 1.37 eV/atom

***

[2]
The following is a PBE calculation of a relaxed structure of Er3PN5, from Alexandria.

a b c (Å): 6.941 6.941 6.941
angles (deg): 125.01 125.01 81.53
Sites, in units of the cell vectors:
Er  0.180  0.680  0.860
Er  0.250  0.250  0.000
Er  0.320  0.180  0.500
Er  0.680  0.820  0.500
Er  0.750  0.750  0.000
Er  0.820  0.320  0.140
P  0.250  0.750  0.500
P  0.750  0.250  0.500
N  0.000  0.000  0.000
N  0.011  0.792  0.500
N  0.208  0.708  0.219
N  0.292  0.511  0.500
N  0.489  0.989  0.781
N  0.500  0.500  0.000
N  0.511  0.011  0.219
N  0.708  0.489  0.500
N  0.792  0.292  0.781
N  0.989  0.208  0.500

Summary:
Crystal system: tetragonal
Space group: I4/mcm
Magnetic moment: 0.40 μB per cell
Fermi-level density of states: 11.45 states/eV/cell
E_form (uncorrected): -1.27 eV/atom

***

[3]
The following is a PBE calculation of a relaxed structure of KScNi3, from Alexandria.

a b c (Å): 4.761 4.761 4.761
angles (deg): 90.00 90.00 90.00
Sites, in units of the cell vectors:
K  0.000  0.000  0.000
Sc  0.500  0.500  0.500
Ni  0.000  0.500  0.500
Ni  0.500  0.000  0.500
Ni  0.500  0.500  0.000

Summary:
Energy of formation from the pure elements: 0.848 eV/atom
Crystal system: cubic
Energy relative to the lowest polymorph listed for this composition: 0 meV/atom
Space group: Pm-3m
Magnetic moment: 0.00 μB per cell
Fermi-level density of states: 4.12 states/eV/cell

***

[4]
The following is a PBE calculation of a relaxed structure of NiHg2Br, from Alexandria.

a b c (Å): 3.455 3.455 8.097
angles (deg): 90.00 90.00 112.25
Sites, in units of the cell vectors:
Ni  0.000  0.000  0.000
Hg  0.500  0.500  0.216
Hg  0.500  0.500  0.784
Br  0.000  0.000  0.500

Summary:
Crystal system: orthorhombic
Energy relative to the lowest polymorph listed for this composition: 173 meV/atom
Space group: Cmmm
Magnetic moment: 0.00 μB per cell
Fermi-level density of states: 2.36 states/eV/cell
E_form (uncorrected): 0.22 eV/atom

***

[5]
The following is a PBE calculation of a relaxed structure of Zr5PaIn4, from Alexandria.

a b c (Å): 3.119 3.119 23.253
angles (deg): 90.00 90.00 90.00
Sites, in units of the cell vectors:
Zr  0.000  0.000  0.000
Zr  0.000  0.000  0.194
Zr  0.000  0.000  0.390
Zr  0.000  0.000  0.610
Zr  0.000  0.000  0.806
Pa  0.500  0.500  0.500
In  0.500  0.500  0.097
In  0.500  0.500  0.291
In  0.500  0.500  0.709
In  0.500  0.500  0.903

Summary:
Energy of formation from the pure elements: -0.220 eV/atom
Crystal system: tetragonal
Space group: P4/mmm
Magnetic moment: 0.00 μB per cell
Fermi-level density of states: 11.33 states/eV/cell

***

[6]
The following is a PBE calculation of a relaxed structure of Na2MgTaIn, from Alexandria.

a b c (Å): 4.985 4.985 5.405
angles (deg): 90.00 90.00 90.00
Sites, in units of the cell vectors:
Na  0.000  0.500  0.000
Na  0.500  0.000  0.000
Mg  0.000  0.000  0.000
Ta  0.000  0.000  0.500
In  0.500  0.500  0.500

Summary:
Energy of formation from the pure elements: 1.167 eV/atom
Crystal system: tetragonal
Space group: P4/mmm
Magnetic moment: 0.99 μB per cell
Fermi-level density of states: 3.39 states/eV/cell